Density functional theory data (GGA-PBE) for an optimized crystal structure of ScAlGe.

Properties
space-group type	I4/mmm, No. 139
total energy	-5.484	eV per atom

a b c (Å): 3.966 3.966 13.830
angles (deg): 90.00 90.00 90.00
Fractional coordinates of all 12 atoms:
Sc 0.000 0.000 0.339
Sc 0.000 0.000 0.661
Sc 0.500 0.500 0.839
Sc 0.500 0.500 0.161
Ge 0.000 0.000 0.859
Ge 0.000 0.000 0.141
Ge 0.500 0.500 0.359
Ge 0.500 0.500 0.641
Al 0.000 0.500 0.000
Al 0.500 0.000 0.000
Al 0.500 0.000 0.500
Al 0.000 0.500 0.500

***

Density functional theory data (GGA-PBE) for an optimized crystal structure of ScAlGe.

Properties
space-group type	Cm, No. 8
total energy	-5.365	eV per atom

a b c (Å): 5.746 4.106 10.175
angles (deg): 90.00 107.47 90.00
Fractional coordinates of all 12 atoms:
Sc 0.124 0.000 0.086
Sc 0.124 0.500 0.586
Sc 0.700 0.000 0.724
Sc 0.700 0.500 0.224
Ge 0.807 0.000 0.434
Ge 0.807 0.500 0.934
Ge 0.226 0.000 0.776
Ge 0.226 0.500 0.276
Al 0.260 0.000 0.424
Al 0.260 0.500 0.924
Al 0.590 0.000 0.010
Al 0.590 0.500 0.510

***

Density functional theory data (GGA-PBE) for an optimized crystal structure of ScAl2Ge2.

Properties
space-group type	P4/mbm, No. 127
total energy	-4.699	eV per atom

a b c (Å): 7.409 7.409 3.366
angles (deg): 90.00 90.00 90.00
Fractional coordinates of all 10 atoms:
Sc 0.000 0.000 0.000
Sc 0.500 0.500 0.000
Ge 0.174 0.674 0.500
Ge 0.674 0.826 0.500
Ge 0.826 0.326 0.500
Ge 0.326 0.174 0.500
Al 0.375 0.875 0.000
Al 0.875 0.625 0.000
Al 0.625 0.125 0.000
Al 0.125 0.375 0.000

***

Density functional theory data (GGA-PBE) for an optimized crystal structure of ScAlGe.

Properties
space-group type	Imm2, No. 44
total energy	-5.388	eV per atom

a b c (Å): 3.915 4.073 14.131
angles (deg): 90.00 90.00 90.00
Fractional coordinates of all 12 atoms:
Sc 0.000 0.500 0.987
Sc 0.500 0.000 0.487
Sc 0.000 0.000 0.304
Sc 0.500 0.500 0.804
Ge 0.000 0.500 0.176
Ge 0.500 0.000 0.676
Ge 0.000 0.500 0.454
Ge 0.500 0.000 0.954
Al 0.000 0.000 0.824
Al 0.500 0.500 0.324
Al 0.000 0.500 0.639
Al 0.500 0.000 0.139

***

Density functional theory data (GGA-PBE) for an optimized crystal structure of ScAlGe.

Properties
space-group type	Pm, No. 6
total energy	-5.333	eV per atom

a b c (Å): 5.205 3.029 7.052
angles (deg): 90.00 92.93 90.00
Fractional coordinates of all 6 atoms:
Sc 0.361 0.000 0.848
Sc 0.745 0.000 0.243
Ge 0.534 0.500 0.537
Ge 0.878 0.500 0.911
Al 0.034 0.500 0.552
Al 0.240 0.500 0.201

***

Density functional theory data (GGA-PBE) for an optimized crystal structure of ScAl2Ge.

Properties
space-group type	P4/mmm, No. 123
total energy	-5.016	eV per atom

a b c (Å): 4.253 4.063 4.063
angles (deg): 90.00 90.00 90.00
Fractional coordinates of all 4 atoms:
Sc 0.500 0.000 0.000
Ge 0.500 0.500 0.500
Al 0.000 0.000 0.500
Al 0.000 0.500 0.000